No. 1
A plane-wave DFT calculation with PBEsol was carried out for KCd3 after structural relaxation.

abc: 2.984 4.329 8.082
angles: 90.00 90.00 90.00
Atoms (fractional coordinates):
1 Cd 0.000 0.000 0.500
2 Cd 0.500 0.500 0.696
3 Cd 0.500 0.500 0.304
4 K 0.000 0.000 0.000

## Properties
Raw total energy = -1.163 eV per atom
Total magnetic moment = 0.0 μB per formula unit

No. 2
A plane-wave DFT calculation with PBEsol was carried out for SrLiSn2 after structural relaxation.

abc: 5.319 5.319 5.319
angles: 60.00 60.00 60.00
Atoms (fractional coordinates):
1 Sn 0.250 0.250 0.250
2 Sn 0.750 0.750 0.750
3 Sr 0.500 0.500 0.500
4 Li 0.000 0.000 0.000

## Properties
Raw total energy = -3.477 eV per atom
Total magnetic moment = 0.0 μB per formula unit

No. 3
A plane-wave DFT calculation with PBEsol was carried out for LiZr4Se after structural relaxation.

abc: 5.703 5.703 5.703
angles: 60.00 60.00 60.00
Atoms (fractional coordinates):
1 Zr 0.868 0.377 0.377
2 Zr 0.377 0.377 0.377
3 Zr 0.377 0.377 0.868
4 Zr 0.377 0.868 0.377
5 Se 0.000 0.000 0.000
6 Li 0.750 0.750 0.750

## Properties
Raw total energy = -6.615 eV per atom
Energy relative to the elements, uncorrected = 9.55 kcal/mol of atoms
Total magnetic moment = 0.0 μB per formula unit

No. 4
A plane-wave DFT calculation with PBEsol was carried out for CrRh after structural relaxation.

abc: 3.711 3.711 3.711
angles: 60.00 60.00 60.00
Atoms (fractional coordinates):
1 Cr 0.000 0.000 0.000
2 Rh 0.750 0.750 0.750

## Properties
Raw total energy = -7.989 eV per atom
Total magnetic moment = 1.1 μB per formula unit

No. 5
A plane-wave DFT calculation with PBEsol was carried out for Cs2TeBr6 after structural relaxation.

abc: 7.688 7.688 7.688
angles: 60.00 60.00 60.00
Atoms (fractional coordinates):
1 Br 0.249 0.249 0.751
2 Br 0.751 0.751 0.249
3 Br 0.249 0.751 0.751
4 Br 0.751 0.249 0.249
5 Br 0.249 0.751 0.249
6 Br 0.751 0.249 0.751
7 Te 0.000 0.000 0.000
8 Cs 0.250 0.250 0.250
9 Cs 0.750 0.750 0.750

## Properties
Raw total energy = -2.937 eV per atom
Energy relative to the elements, uncorrected = -25.12 kcal/mol of atoms
Total magnetic moment = 0.0 μB per formula unit

No. 6
A plane-wave DFT calculation with PBEsol was carried out for AgBi2H2 after structural relaxation.

abc: 3.504 3.504 7.295
angles: 103.89 103.89 90.00
Atoms (fractional coordinates):
1 Bi 0.635 0.635 0.270
2 Bi 0.365 0.365 0.730
3 H 0.750 0.250 0.500
4 H 0.250 0.750 0.500
5 Ag 0.000 0.000 0.000

## Properties
Raw total energy = -3.302 eV per atom
Total magnetic moment = 0.0 μB per formula unit

No. 7
A plane-wave DFT calculation with PBEsol was carried out for Pr5Ru2 after structural relaxation.

abc: 6.528 7.301 8.797
angles: 96.09 111.78 90.00
Atoms (fractional coordinates):
1 Ru 0.598 0.426 0.778
2 Ru 0.402 0.574 0.222
3 Ru 0.821 0.074 0.222
4 Ru 0.179 0.926 0.778
5 Pr 0.421 0.250 0.000
6 Pr 0.206 0.188 0.566
7 Pr 0.361 0.688 0.566
8 Pr 0.204 0.914 0.185
9 Pr 0.579 0.750 0.000
10 Pr 0.796 0.086 0.815
11 Pr 0.794 0.812 0.434
12 Pr 0.019 0.586 0.815
13 Pr 0.981 0.414 0.185
14 Pr 0.639 0.312 0.434

## Properties
Raw total energy = -6.745 eV per atom
Total magnetic moment = 0.0 μB per formula unit

No. 8
A plane-wave DFT calculation with PBEsol was carried out for ZnSb2TeO after structural relaxation.

abc: 5.132 5.100 5.100
angles: 90.00 90.00 90.00
Atoms (fractional coordinates):
1 Te 0.500 0.000 0.000
2 O 0.500 0.500 0.500
3 Sb 0.000 0.000 0.500
4 Sb 0.000 0.500 0.000
5 Zn 0.000 0.000 0.000

## Properties
Raw total energy = -2.951 eV per atom
Energy relative to the elements, uncorrected = 21.76 kcal/mol of atoms
Total magnetic moment = 1.5 μB per formula unit

No. 9
A plane-wave DFT calculation with PBEsol was carried out for Mn2HgS2 after structural relaxation.

abc: 3.460 3.460 8.286
angles: 102.05 102.05 90.00
Atoms (fractional coordinates):
1 Mn 0.750 0.250 0.500
2 Mn 0.250 0.750 0.500
3 Hg 0.000 0.000 0.000
4 S 0.337 0.337 0.674
5 S 0.663 0.663 0.326

## Properties
Raw total energy = -6.140 eV per atom
Energy relative to the elements, uncorrected = -8.50 kcal/mol of atoms
Total magnetic moment = 2.3 μB per formula unit

No. 10
A plane-wave DFT calculation with PBEsol was carried out for InAg2Pb after structural relaxation.

abc: 3.280 3.280 8.061
angles: 90.00 90.00 90.00
Atoms (fractional coordinates):
1 In 0.000 0.000 0.455
2 Ag 0.500 0.500 0.232
3 Ag 0.000 0.000 0.033
4 Pb 0.500 0.500 0.781

## Properties
Raw total energy = -3.344 eV per atom
Total magnetic moment = 0.0 μB per formula unit

No. 11
A plane-wave DFT calculation with PBEsol was carried out for CaSm2O4 after structural relaxation.

abc: 6.910 6.910 6.910
angles: 60.00 60.00 60.00
Atoms (fractional coordinates):
1 O 0.841 0.386 0.386
2 O 0.864 0.864 0.409
3 O 0.386 0.386 0.386
4 O 0.386 0.386 0.841
5 O 0.386 0.841 0.386
6 O 0.409 0.864 0.864
7 O 0.864 0.864 0.864
8 O 0.864 0.409 0.864
9 Ca 0.250 0.250 0.250
10 Ca 0.000 0.000 0.000
11 Sm 0.125 0.625 0.625
12 Sm 0.625 0.625 0.125
13 Sm 0.625 0.125 0.625
14 Sm 0.625 0.625 0.625

## Properties
Raw total energy = -8.008 eV per atom
Energy relative to the elements, uncorrected = -74.92 kcal/mol of atoms
Total magnetic moment = 0.0 μB per formula unit

No. 12
A plane-wave DFT calculation with PBEsol was carried out for ZnS after structural relaxation.

abc: 3.785 3.785 55.749
angles: 88.05 88.05 60.00
Atoms (fractional coordinates):
1 Zn 0.926 0.926 0.222
2 Zn 0.000 0.000 0.000
3 Zn 0.574 0.574 0.278
4 Zn 0.963 0.963 0.111
5 Zn 0.519 0.519 0.444
6 Zn 0.870 0.870 0.389
7 Zn 0.111 0.111 0.667
8 Zn 0.759 0.759 0.722
9 Zn 0.278 0.278 0.167
10 Zn 0.407 0.407 0.778
11 Zn 0.704 0.704 0.889
12 Zn 0.222 0.222 0.333
13 Zn 0.648 0.648 0.056
14 Zn 0.796 0.796 0.611
15 Zn 0.056 0.056 0.833
16 Zn 0.481 0.481 0.556
17 Zn 0.352 0.352 0.944
18 Zn 0.167 0.167 0.500
19 S 0.292 0.292 0.125
20 S 0.940 0.940 0.181
21 S 0.884 0.884 0.347
22 S 0.181 0.181 0.458
23 S 0.977 0.977 0.070
24 S 0.125 0.125 0.625
25 S 0.588 0.588 0.236
26 S 0.718 0.718 0.847
27 S 0.014 0.014 0.958
28 S 0.069 0.069 0.792
29 S 0.662 0.662 0.014
30 S 0.495 0.495 0.514
31 S 0.532 0.532 0.403
32 S 0.421 0.421 0.736
33 S 0.236 0.236 0.292
34 S 0.773 0.773 0.681
35 S 0.810 0.810 0.569
36 S 0.366 0.366 0.903

## Properties
Raw total energy = -3.793 eV per atom
Energy relative to the elements, uncorrected = -18.69 kcal/mol of atoms
Total magnetic moment = 0.0 μB per formula unit

No. 13
A plane-wave DFT calculation with PBEsol was carried out for ScIrBr after structural relaxation.

abc: 4.332 4.332 4.332
angles: 60.00 60.00 60.00
Atoms (fractional coordinates):
1 Ir 0.000 0.000 0.000
2 Br 0.250 0.250 0.250
3 Sc 0.500 0.500 0.500

## Properties
Raw total energy = -5.867 eV per atom
Energy relative to the elements, uncorrected = 5.37 kcal/mol of atoms
Total magnetic moment = 0.0 μB per formula unit

No. 14
A plane-wave DFT calculation with PBEsol was carried out for Zr2ZnP after structural relaxation.

abc: 3.700 3.721 5.301
angles: 90.00 110.42 90.00
Atoms (fractional coordinates):
1 Zr 0.728 0.500 0.455
2 Zr 0.023 0.000 0.045
3 Zn 0.297 0.000 0.594
4 P 0.453 0.500 0.906

## Properties
Raw total energy = -7.289 eV per atom
Total magnetic moment = 0.0 μB per formula unit

No. 15
A plane-wave DFT calculation with PBEsol was carried out for CuWBr2 after structural relaxation.

abc: 3.007 3.216 8.977
angles: 90.00 90.00 117.87
Atoms (fractional coordinates):
1 W 0.500 0.000 0.000
2 Cu 0.500 0.000 0.500
3 Br 0.000 0.000 0.768
4 Br 0.000 0.000 0.232

## Properties
Raw total energy = -4.667 eV per atom
Distance to the lowest polymorph of the same formula = 416 meV per atom
Energy relative to the elements, uncorrected = 18.54 kcal/mol of atoms
Total magnetic moment = 0.8 μB per formula unit

No. 16
A plane-wave DFT calculation with PBEsol was carried out for ZrAsRu2 after structural relaxation.

abc: 2.914 4.920 5.159
angles: 117.85 105.44 91.96
Atoms (fractional coordinates):
1 Ru 0.000 0.000 0.500
2 Ru 0.500 0.500 0.500
3 Zr 0.000 0.500 0.000
4 As 0.500 0.000 0.000

## Properties
Raw total energy = -8.775 eV per atom
Total magnetic moment = 0.0 μB per formula unit

No. 17
A plane-wave DFT calculation with PBEsol was carried out for NaNiIO2 after structural relaxation.

abc: 3.864 3.864 5.342
angles: 90.00 90.00 90.00
Atoms (fractional coordinates):
1 O 0.500 0.000 0.000
2 O 0.000 0.500 0.000
3 Na 0.500 0.500 0.500
4 I 0.000 0.000 0.500
5 Ni 0.000 0.000 0.000

## Properties
Raw total energy = -4.284 eV per atom
Energy relative to the elements, uncorrected = -7.36 kcal/mol of atoms
Total magnetic moment = 2.2 μB per formula unit

No. 18
A plane-wave DFT calculation with PBEsol was carried out for SrCa2Se after structural relaxation.

abc: 4.088 4.088 10.473
angles: 78.75 78.75 60.00
Atoms (fractional coordinates):
1 Ca 0.003 0.003 0.991
2 Ca 0.774 0.774 0.677
3 Sr 0.227 0.227 0.320
4 Se 0.496 0.496 0.512

## Properties
Raw total energy = -3.409 eV per atom
Energy relative to the elements, uncorrected = -21.21 kcal/mol of atoms
Total magnetic moment = 0.0 μB per formula unit

No. 19
A plane-wave DFT calculation with PBEsol was carried out for K4NaNb5O15 after structural relaxation.

abc: 3.985 5.709 28.639
angles: 90.61 90.00 90.00
Atoms (fractional coordinates):
1 O 0.000 0.503 0.700
2 O 0.500 0.741 0.248
3 O 0.000 0.997 0.399
4 O 0.500 0.246 0.249
5 O 0.500 0.746 0.049
6 O 0.000 0.499 0.499
7 O 0.500 0.746 0.349
8 O 0.500 0.758 0.149
9 O 0.000 0.001 0.600
10 O 0.500 0.265 0.953
11 O 0.000 0.496 0.297
12 O 0.500 0.254 0.852
13 O 0.500 0.754 0.751
14 O 0.500 0.753 0.650
15 O 0.500 0.251 0.051
16 O 0.000 0.506 0.901
17 O 0.500 0.260 0.152
18 O 0.000 0.005 0.800
19 O 0.500 0.756 0.851
20 O 0.000 0.010 0.001
21 O 0.500 0.749 0.450
22 O 0.500 0.749 0.550
23 O 0.500 0.247 0.450
24 O 0.500 0.256 0.751
25 O 0.500 0.251 0.651
26 O 0.500 0.249 0.350
27 O 0.500 0.763 0.950
28 O 0.500 0.252 0.550
29 O 0.000 0.003 0.199
30 O 0.000 0.501 0.098
31 Nb 0.500 0.001 0.807
32 Nb 0.500 0.994 0.405
33 Nb 0.500 0.496 0.506
34 Nb 0.500 0.998 0.606
35 Nb 0.500 0.500 0.707
36 Nb 0.500 0.989 0.205
37 Nb 0.500 0.495 0.106
38 Nb 0.500 0.501 0.908
39 Nb 0.500 0.491 0.305
40 Nb 0.500 0.994 0.006
41 K 0.000 0.495 0.403
42 K 0.000 0.502 0.805
43 K 0.000 0.992 0.303
44 K 0.000 0.004 0.905
45 K 0.000 0.001 0.704
46 K 0.000 0.499 0.604
47 K 0.000 0.998 0.104
48 K 0.000 0.997 0.503
49 Na 0.000 0.471 0.210
50 Na 0.000 0.477 0.011

## Properties
Raw total energy = -7.999 eV per atom
Energy relative to the elements, uncorrected = -56.45 kcal/mol of atoms
Total magnetic moment = 0.0 μB per formula unit

No. 20
A plane-wave DFT calculation with PBEsol was carried out for Ca2RhBr after structural relaxation.

abc: 3.444 3.444 7.584
angles: 90.00 90.04 90.00
Atoms (fractional coordinates):
1 Ca 0.000 0.000 0.784
2 Ca 0.000 0.000 0.216
3 Br 0.500 0.500 0.500
4 Rh 0.500 0.500 0.000

## Properties
Raw total energy = -4.474 eV per atom
Distance to the lowest polymorph of the same formula = 0 meV per atom
Energy relative to the elements, uncorrected = -20.88 kcal/mol of atoms
Total magnetic moment = 0.0 μB per formula unit